No. 1
AlCdSeN2 | GGA-PBE | relaxed

Cell: 3.792 3.792 5.706 Å, 90.00 90.00 90.00°
Fractional coordinates of all 5 atoms:
Al: 0.000 0.000 0.000
N: 0.500 0.000 0.000
N: 0.000 0.500 0.000
Cd: 0.500 0.500 0.500
Se: 0.000 0.000 0.500

polymorph energy (0 for the lowest one) = 0.000 eV per atom
E_form (uncorrected) = 54.67 kJ/mol of atoms

---

No. 2
LaNd7Ho2 | GGA-PBE | relaxed

Cell: 5.800 9.271 9.271 Å, 121.95 90.00 90.00°
Fractional coordinates of all 10 atoms:
Nd: 0.500 0.062 0.297
Nd: 0.500 0.703 0.938
Nd: 0.500 0.938 0.703
Nd: 0.500 0.500 0.500
Nd: 0.500 0.297 0.062
Nd: 0.000 0.770 0.230
Nd: 0.000 0.230 0.770
Ho: 0.500 0.703 0.297
Ho: 0.500 0.297 0.703
La: 0.000 0.000 0.000

ΔH_f (0 K) = 0.629 eV per atom
polymorph energy (0 for the lowest one) = 0.609 eV per atom

---

No. 3
BaLa2Si | GGA-PBE | relaxed

Cell: 3.904 3.904 9.790 Å, 90.00 90.00 90.00°
Fractional coordinates of all 4 atoms:
Si: 0.500 0.500 0.250
La: 0.000 0.000 0.405
La: 0.000 0.000 0.095
Ba: 0.500 0.500 0.750

E_form (uncorrected) = -21.95 kJ/mol of atoms

---

No. 4
BeFe3Cu | GGA-PBE | relaxed

Cell: 3.927 3.927 3.927 Å, 90.00 90.00 90.00°
Fractional coordinates of all 5 atoms:
Cu: 0.500 0.500 0.500
Be: 0.000 0.000 0.000
Fe: 0.500 0.000 0.000
Fe: 0.000 0.500 0.000
Fe: 0.000 0.000 0.500

ΔH_f (0 K) = 0.598 eV per atom
polymorph energy (0 for the lowest one) = 0.000 eV per atom

---

No. 5
MnPbBr2 | GGA-PBE | relaxed

Cell: 11.010 11.010 11.010 Å, 19.11 19.11 19.11°
Fractional coordinates of all 4 atoms:
Br: 0.533 0.533 0.533
Br: 0.967 0.967 0.967
Mn: 0.250 0.250 0.250
Pb: 0.750 0.750 0.750

polymorph energy (0 for the lowest one) = 0.000 eV per atom
E_form (uncorrected) = -38.23 kJ/mol of atoms

---

No. 6
ErMg2Cd8 | GGA-PBE | relaxed

Cell: 4.603 6.928 8.373 Å, 103.92 105.95 90.00°
Fractional coordinates of all 11 atoms:
Mg: 0.761 0.352 0.523
Mg: 0.239 0.648 0.477
Cd: 0.689 0.906 0.378
Cd: 0.134 0.209 0.269
Cd: 0.592 0.476 0.184
Cd: 0.055 0.740 0.110
Cd: 0.408 0.524 0.816
Cd: 0.945 0.260 0.890
Cd: 0.866 0.791 0.731
Cd: 0.311 0.094 0.622
Er: 0.500 0.000 0.000

ΔH_f (0 K) = -0.119 eV per atom

---

No. 7
K3DyTm3Te8 | GGA-PBE | relaxed

Cell: 8.703 8.708 9.878 Å, 116.17 90.00 119.99°
Fractional coordinates of all 15 atoms:
Te: 0.762 0.031 0.293
Te: 0.269 0.031 0.293
Te: 0.735 0.471 0.706
Te: 0.762 0.523 0.293
Te: 0.731 0.969 0.707
Te: 0.238 0.969 0.707
Te: 0.265 0.529 0.294
Te: 0.238 0.477 0.707
Tm: 0.500 0.500 0.500
Tm: 0.000 0.500 0.500
Tm: 0.500 0.000 0.500
K: 0.000 0.000 0.000
K: 0.000 0.500 0.000
K: 0.500 0.500 0.000
Dy: 0.000 0.000 0.500

E_form (uncorrected) = -125.90 kJ/mol of atoms

---

No. 8
GaSb2As2 | GGA-PBE | relaxed

Cell: 5.437 5.437 6.048 Å, 63.29 63.29 90.00°
Fractional coordinates of all 5 atoms:
As: 0.250 0.750 0.500
As: 0.750 0.250 0.500
Ga: 0.000 0.000 0.000
Sb: 0.662 0.662 0.675
Sb: 0.338 0.338 0.325

polymorph energy (0 for the lowest one) = 0.031 eV per atom
E_form (uncorrected) = 22.11 kJ/mol of atoms

---

| no. | E_tot (eV for the cell shown) | density (g/cm3) | size of the total moment (μB per formula unit) |
| --- | --- | --- | --- |
| 1 | -21.96 | 4.99 | 1.18 |
| 2 | -41.17 | 5.80 | 0.00 |
| 3 | -18.11 | 4.93 | 0.36 |
| 4 | -30.22 | 6.58 | 7.01 |
| 5 | -17.81 | 5.60 | 4.77 |
| 6 | -16.39 | 7.45 | 0.00 |
| 7 | -66.02 | 5.38 | 0.00 |
| 8 | -19.42 | 5.57 | 0.00 |